Entry 1:
{"formula": "CaLaRe3", "functional": "GGA-PBE", "state": "relaxed", "polymorph_energy_kcal_per_mol_atoms": 0.00, "ef_ev_per_atom": 2.385, "crystal_system": "cubic", "magnetic_moment_mub_per_atom": 0.0000, "cell": [[4.921, 0.000, 0.000], [0.000, 4.921, 0.000], [0.000, 0.000, 4.921]], "species": ["Re", "Re", "Re", "Ca", "La"], "fractional_positions": [[0.000, 0.500, 0.000], [0.000, 0.000, 0.500], [0.500, 0.000, 0.000], [0.500, 0.500, 0.500], [0.000, 0.000, 0.000]]}



Entry 2:
{"formula": "Tb2Pm6Er3Tl", "functional": "GGA-PBE", "state": "relaxed", "ef_ev_per_atom": -0.015, "crystal_system": "monoclinic", "magnetic_moment_mub_per_atom": 0.0000, "cell": [[-1.051, 4.975, -3.512], [-1.480, -5.630, -2.075], [-9.703, 1.279, 6.539]], "species": ["Tb", "Tb", "Pm", "Pm", "Pm", "Pm", "Pm", "Pm", "Er", "Er", "Er", "Tl"], "fractional_positions": [[0.334, 0.666, 0.000], [0.666, 0.334, 0.000], [0.917, 0.589, 0.750], [0.755, 0.755, 0.251], [0.083, 0.411, 0.250], [0.589, 0.917, 0.750], [0.245, 0.245, 0.749], [0.411, 0.083, 0.250], [0.167, 0.833, 0.500], [0.833, 0.167, 0.500], [0.500, 0.500, 0.500], [0.000, 0.000, 0.000]]}



Entry 3:
{"formula": "SmNiPb", "functional": "GGA-PBE", "state": "relaxed", "ef_ev_per_atom": -0.385, "crystal_system": "monoclinic", "magnetic_moment_mub_per_atom": 0.0000, "cell": [[0.760, -3.991, -2.121], [-0.331, -2.183, 3.990], [-7.434, 3.141, 1.102]], "species": ["Sm", "Sm", "Ni", "Ni", "Pb", "Pb"], "fractional_positions": [[0.026, 0.250, 0.781], [0.974, 0.750, 0.219], [0.226, 0.250, 0.500], [0.774, 0.750, 0.500], [0.519, 0.250, 0.275], [0.481, 0.750, 0.725]]}



Entry 4:
{"formula": "PmPr2S4", "functional": "GGA-PBE", "state": "relaxed", "polymorph_energy_kcal_per_mol_atoms": 0.20, "crystal_system": "orthorhombic", "magnetic_moment_mub_per_atom": 0.0000, "cell": [[-5.987, -5.021, -2.347], [-3.883, -4.568, 5.499], [-7.733, 1.736, 1.833]], "species": ["Pm", "Pm", "Pr", "Pr", "Pr", "Pr", "S", "S", "S", "S", "S", "S", "S", "S"], "fractional_positions": [[0.500, 0.500, 0.000], [0.000, 0.500, 0.000], [0.000, 0.000, 0.000], [0.000, 0.000, 0.500], [0.000, 0.500, 0.500], [0.500, 0.000, 0.500], [0.252, 0.252, 0.245], [0.748, 0.255, 0.248], [0.252, 0.745, 0.752], [0.748, 0.748, 0.755], [0.761, 0.748, 0.248], [0.757, 0.252, 0.752], [0.243, 0.748, 0.248], [0.239, 0.252, 0.752]]}